1.
This record from the Open Quantum Materials Database describes a geometry-optimized UBr2Cl structure. The functional is PBE-GGA.

Output
The energy above the most stable polymorph in this dataset is 34 meV/atom.

extended XYZ file:
```
8
Lattice="7.6153 0.0000 0.0000 0.0000 4.3608 0.0000 -3.5872 0.0000 6.9154" Properties=species:S:1:pos:R:3 pbc="T T T"
Cl 3.0878 1.0902 4.0711
Cl 0.9403 3.2706 2.8443
Br 2.5556 1.0902 0.6077
Br -1.9344 3.2706 4.8647
Br 5.9625 1.0902 2.0507
Br 1.4725 3.2706 6.3077
U 3.8436 3.2706 2.3134
U 0.1844 1.0902 4.6020
```

---

2.
This record from the Open Quantum Materials Database describes a geometry-optimized UBr2Cl2 structure. The functional is PBE-GGA.

Output
The total energy is -5.142 eV/atom.

extended XYZ file:
```
10
Lattice="3.0581 -5.3087 4.7517 -1.2271 6.1253 4.5921 -6.4173 -2.7257 -3.3912" Properties=species:S:1:pos:R:3 pbc="T T T"
Br -1.1345 -3.7741 3.4620
Br 1.4617 0.6519 7.4596
Br -3.4518 1.8650 2.4906
Br 0.3692 0.1647 1.8842
Cl -4.3389 -4.8907 1.2777
Cl -2.8891 -1.4232 0.6905
Cl -0.2474 2.9816 4.6749
Cl -1.6972 -0.4859 5.2620
U -5.7299 2.5481 0.9001
U -1.9145 0.8514 0.3007
```

---

3.
This record from the Open Quantum Materials Database describes a geometry-optimized Zn2BrCl3 structure. The functional is PBE-GGA.

Output
The energy above the most stable polymorph in this dataset is 0 meV/atom.

extended XYZ file:
```
6
Lattice="-0.3818 -2.3977 2.8424 2.4921 -2.3418 -1.6408 8.8109 5.3722 5.7151" Properties=species:S:1:pos:R:3 pbc="T T T"
Zn 0.0459 0.0280 0.0297
Zn 5.4601 0.3160 3.4580
Br 8.9710 3.5391 4.1903
Cl 0.8653 -0.5549 2.1063
Cl 5.1988 2.0873 4.9172
Cl 4.6518 0.9056 1.3887
```

---

4.
This record from the Open Quantum Materials Database describes a geometry-optimized Zn2BrCl3 structure. The functional is PBE-GGA.

Output
The energy above the most stable polymorph in this dataset is 82 meV/atom.

extended XYZ file:
```
6
Lattice="6.4452 0.0000 0.0000 0.0000 3.5414 0.0000 -2.8262 0.0000 6.0205" Properties=species:S:1:pos:R:3 pbc="T T T"
Cl 1.0301 1.7707 1.3248
Cl 2.6009 1.7707 4.6389
Cl -0.6118 0.0000 4.6335
Zn 6.4250 0.0000 0.0079
Zn 0.3856 1.7707 5.9643
Br 4.2497 0.0000 1.4921
```